MoH4O5: relaxed, GGA+U.

total energy	-5.675	eV/atom
space-group type	P1 (1)
ΔE to the lowest computed polymorph	61	meV/atom

Unit cell a=4.141 b=6.555 c=8.586 alpha=90.12 beta=90.01 gamma=71.97
Sites, in units of the cell vectors:
O (0.850, 0.285, 0.265)
H (0.406, 0.587, 0.560)
H (0.395, 0.176, 0.220)
Mo (0.977, 0.012, 0.321)
O (0.652, 0.541, 0.544)
O (0.470, 0.036, 0.273)
H (0.201, 0.626, 0.174)
H (0.305, 0.514, 0.936)
H (0.595, 0.413, 0.060)
O (0.150, 0.715, 0.764)
O (0.871, 0.283, 0.774)
H (0.697, 0.485, 0.437)
H (0.800, 0.374, 0.675)
O (0.129, 0.717, 0.273)
O (0.013, 0.990, 0.023)
O (0.349, 0.458, 0.043)
O (0.530, 0.964, 0.773)
H (0.604, 0.825, 0.719)
Mo (0.022, 0.989, 0.821)
O (0.987, 0.011, 0.523)